1.
BaSmAgSe2S: relaxed, PBE.

a b c (Å): 4.2800 14.2095 10.6798
angles (deg): 90.00 90.00 90.00
Space group Cmcm (No. 63)
Asymmetric unit:
Ba 0.0000 0.2400 0.2500
Sm 0.0000 0.5000 0.0000
Ag 0.0000 0.0290 0.7500
Se 0.0000 0.1402 0.5526
S 0.0000 0.4261 0.7500

Its total DFT energy (no corrections) is -120.471 eV per cell.

---

2.
KZrAgSe3: relaxed, PBE.

a b c (Å): 10.8657 3.9655 14.8909
angles (deg): 90.00 90.00 90.00
Space group Pnma (No. 62)
Asymmetric unit:
K 0.2490 0.2500 0.0028
Zr 0.0244 0.2500 0.2593
Ag 0.2471 0.7500 0.2062
Se 0.0316 0.7500 0.1307
Se 0.0440 0.2500 0.6228
Se 0.2446 0.2500 0.3251

Its total DFT energy (no corrections) is -116.872 eV per cell.